Entry 1:
CuAsIN2: single point on PBEsol structure, meta-GGA SCAN.

## Properties
ρ ... 5.4 g/cm³
Total DFT energy (no corrections) ... -84.5 eV per cell
Crystal system ... tetragonal
N(E_F) ... 1.25 states/eV per cell

Geometry as extended XYZ:
```
5
Lattice="3.677 0.000 0.000 0.000 3.677 0.000 0.000 0.000 6.728" Properties=species:S:1:pos:R:3 pbc="T T T"
Cu 0.000 0.000 0.000
As 1.838 1.838 3.364
I 1.838 1.838 0.000
N 0.000 1.838 3.364
N 1.838 0.000 3.364
```



Entry 2:
InCuAs: single point on PBEsol structure, meta-GGA SCAN.

## Properties
ρ ... 7.3 g/cm³
Total DFT energy (no corrections) ... -68.6 eV per cell
Crystal system ... cubic
N(E_F) ... 1.51 states/eV per cell

Geometry as extended XYZ:
```
3
Lattice="0.000 3.060 3.060 3.060 0.000 3.060 3.060 3.060 0.000" Properties=species:S:1:pos:R:3 pbc="T T T"
In 0.000 0.000 0.000
Cu 1.530 1.530 1.530
As 3.060 3.060 3.060
```



Which magnetization belongs to each record? In order, 0.199 0.000 μB/atom.